(1)
The following is a PBE calculation of a relaxed LaAg2 crystal, from the Alexandria database.

## Properties
As for the crystal system: monoclinic. The calculated total energy is -0.1339 hartree per atom. For the magnetic moment, the calculation gives 0.000 μB per cell. The value obtained for the formation energy is -101 meV per atom. As for the space group: C2/m, No. 12.

Structure (POSCAR):
```
LaAg2
1.0
1.837 5.521 -0.009
-1.837 5.521 -0.009
0.000 2.300 6.988
La Ag
2 4
Cartesian
0.000 5.142 4.243
0.000 8.200 2.726
0.000 2.035 5.478
0.000 9.472 6.631
0.000 3.870 0.339
0.000 11.306 1.492
```



(2)
The following is a PBE calculation of a relaxed Rb4Cd3AgF12 crystal, from the Alexandria database.

## Properties
As for the crystal system: cubic. The calculated total energy is -0.1427 hartree per atom. For the magnetic moment, the calculation gives 1.039 μB per cell. The value obtained for the formation energy without anion corrections is -2.286 eV/atom. As for the space group: Im-3m, No. 229.

Structure (POSCAR):
```
Rb4Cd3AgF12
1.0
-7.705 -0.155 1.042
2.102 -5.848 -4.676
3.561 -0.766 6.871
Rb Cd Ag F
4 3 1 12
Cartesian
-1.021 -3.385 1.619
1.780 -0.383 3.436
-3.853 -0.078 0.521
1.051 -2.924 -2.338
-2.072 -0.461 3.957
-2.802 -3.002 -1.817
2.832 -3.307 1.098
0.000 0.000 0.000
1.796 -3.538 3.076
-3.102 -0.690 5.924
-1.042 -0.232 1.990
-3.838 -3.232 0.161
-4.194 -4.494 -2.720
-1.409 -1.510 -0.914
-3.473 -1.962 3.048
1.431 -4.808 0.189
-0.656 -2.115 4.506
4.239 -4.951 1.644
-1.386 -4.655 -1.268
1.424 -1.663 0.552
```



(3)
The following is a PBE calculation of a relaxed Ce2Ge2S5 crystal, from the Alexandria database.

## Properties
As for the crystal system: monoclinic. The calculated total energy is -0.2104 hartree per atom. For the magnetic moment, the calculation gives 2.014 μB per cell. The value obtained for the formation energy without anion corrections is -1.088 eV/atom. As for the space group: C2/m, No. 12.

Structure (POSCAR):
```
Ce2Ge2S5
1.0
-2.076 -3.498 -0.313
8.621 -2.597 -1.562
-4.037 1.681 8.005
Ce Ge S
2 2 5
Cartesian
2.626 -1.973 4.643
-0.119 -2.441 1.487
-0.885 -0.001 5.885
3.393 -4.414 0.245
4.968 -2.850 -1.101
-2.460 -1.565 7.231
0.485 -0.602 3.518
2.023 -3.812 2.612
0.000 0.000 0.000
```



(4)
The following is a PBE calculation of a relaxed GdPaCo crystal, from the Alexandria database.

## Properties
As for the crystal system: tetragonal. The calculated total energy is -0.3810 hartree per atom. Its relative energy among the computed polymorphs is 0.0 meV per atom. For the magnetic moment, the calculation gives 7.299 μB per cell. The value obtained for the formation energy is -140 meV per atom. As for the space group: I4mm, No. 107.

Structure (POSCAR):
```
GdPaCo
1.0
3.429 0.000 0.000
0.000 3.429 0.000
-1.715 -1.715 5.580
Gd Pa Co
1 1 1
Cartesian
0.000 0.000 0.022
0.000 0.000 3.286
1.715 1.715 2.272
```



(5)
The following is a PBE calculation of a relaxed RePd crystal, from the Alexandria database.

## Properties
As for the crystal system: orthorhombic. The calculated total energy is -0.3207 hartree per atom. Its relative energy among the computed polymorphs is 29.7 meV per atom. For the magnetic moment, the calculation gives 0.000 μB per cell. The value obtained for the formation energy is 93 meV per atom. As for the space group: Pmmn, No. 59.

Structure (POSCAR):
```
RePd
1.0
2.748 0.000 0.284
0.000 4.398 0.000
-0.504 0.000 4.886
Re Pd
2 2
Cartesian
1.765 3.299 3.083
0.479 1.100 2.087
0.646 3.299 0.474
1.598 1.100 4.695
```